No. 1
VASP calculation (PBE) on a relaxed Pm2Cd17 crystal.

Structure (CIF):
```
data_Pm2Cd17
_space_group_name_H-M_alt 'R -3 m'
_space_group_IT_number 166
_space_group_name_Hall '-R 3 2"'
_cell_length_a 10.0333
_cell_length_b 10.0333
_cell_length_c 14.9013
_cell_angle_alpha 90.00
_cell_angle_beta 90.00
_cell_angle_gamma 120.00
loop_
_atom_site_label
_atom_site_fract_x
_atom_site_fract_y
_atom_site_fract_z
Pm1 0.0000 0.0000 0.1697
Cd1 0.0000 0.0000 0.3987
Cd2 0.0000 0.3008 0.5000
Cd3 0.0000 0.5000 0.0000
Cd4 0.0144 0.5072 0.6474
```

Output
**DFT formation energy**: -0.16 eV per atom
**Total magnetization**: 0.0001 μB/atom

No. 2
VASP calculation (PBE) on a relaxed PmPrCd crystal.

Structure (CIF):
```
data_PmPrCd
_space_group_name_H-M_alt 'F -4 3 m'
_space_group_IT_number 216
_space_group_name_Hall 'F -4 2 3'
_cell_length_a 7.3304
_cell_length_b 7.3304
_cell_length_c 7.3304
_cell_angle_alpha 90.00
_cell_angle_beta 90.00
_cell_angle_gamma 90.00
loop_
_atom_site_label
_atom_site_fract_x
_atom_site_fract_y
_atom_site_fract_z
Pm1 0.0000 0.0000 0.0000
Pr1 0.2500 0.2500 0.7500
Cd1 0.0000 0.0000 0.5000
```

Output
**DFT formation energy**: 0.42 eV per atom
**Total magnetization**: 0.0009 μB/atom

No. 3
VASP calculation (PBE) on a relaxed PmPrCd2 crystal.

Structure (CIF):
```
data_PmPrCd2
_space_group_name_H-M_alt 'F m -3 m'
_space_group_IT_number 225
_space_group_name_Hall '-F 4 2 3'
_cell_length_a 7.6774
_cell_length_b 7.6774
_cell_length_c 7.6774
_cell_angle_alpha 90.00
_cell_angle_beta 90.00
_cell_angle_gamma 90.00
loop_
_atom_site_label
_atom_site_fract_x
_atom_site_fract_y
_atom_site_fract_z
Pm1 0.0000 0.0000 0.0000
Pr1 0.0000 0.0000 0.5000
Cd1 0.2500 0.2500 0.2500
```

Output
**DFT formation energy**: -0.33 eV per atom
**Total magnetization**: 0.2111 μB/atom

No. 4
VASP calculation (PBE) on a relaxed Pm3CdPt8 crystal.

Structure (CIF):
```
data_Pm3CdPt8
_space_group_name_H-M_alt 'R 3 m'
_space_group_IT_number 160
_space_group_name_Hall 'R 3 -2"'
_cell_length_a 5.4683
_cell_length_b 5.4683
_cell_length_c 26.8326
_cell_angle_alpha 90.00
_cell_angle_beta 90.00
_cell_angle_gamma 120.00
loop_
_atom_site_label
_atom_site_fract_x
_atom_site_fract_y
_atom_site_fract_z
Pm1 0.0000 0.0000 0.0000
Pm2 0.0000 0.0000 0.1283
Pm3 0.0000 0.0000 0.5128
Cd1 0.0000 0.0000 0.6347
Pt1 0.0000 0.0000 0.3178
Pt2 0.0000 0.0000 0.8180
Pt3 0.0004 0.5002 0.0688
Pt4 0.1681 0.3362 0.9008
```

Output
**DFT formation energy**: -0.95 eV per atom
**Total magnetization**: 0.0000 μB/atom

Look up the total magnetization of the first one. 0.0001 μB/atom